[1]
A geometry-optimized CaPmH8Pt2 structure. Source: Alexandria via LeMat-Bulk, functional PBE.

Unit cell a=4.7827 b=4.7827 c=6.9804 alpha=69.97 beta=69.97 gamma=60.00
Atoms (fractional coordinates):
Ca 0.0000 0.0000 0.0000
Pm 0.5000 0.5000 0.5000
H 0.1505 0.1505 0.5484
H 0.4609 0.4609 0.1737
H 0.8495 0.8495 0.4516
H 0.9045 0.4609 0.1737
H 0.0955 0.5391 0.8263
H 0.4609 0.9045 0.1737
H 0.5391 0.0955 0.8263
H 0.5391 0.5391 0.8263
Pt 0.2380 0.2380 0.2859
Pt 0.7620 0.7620 0.7141

Summary:
* calculated volume: 10.583 Å³/atom
* electronic total energy: -4.0932 eV per atom
* space-group type: R-3m (166)
* total magnetic moment: 0.00 μB/f.u.

[2]
A geometry-optimized Ba3FeRh structure. Source: Alexandria via LeMat-Bulk, functional PBE.

Unit cell a=5.4798 b=5.4798 c=5.4798 alpha=90.00 beta=90.00 gamma=90.00
Atoms (fractional coordinates):
Rh 0.5000 0.5000 0.5000
Ba 0.0000 0.5000 0.0000
Ba 0.0000 0.0000 0.5000
Ba 0.5000 0.0000 0.0000
Fe 0.0000 0.0000 0.0000

Summary:
* calculated volume: 32.910 Å³/atom
* electronic total energy: -3.6041 eV per atom
* space-group type: Pm-3m (221)
* total magnetic moment: 0.00 μB/f.u.

[3]
A geometry-optimized La4Bi3N2 structure. Source: Alexandria via LeMat-Bulk, functional PBE.

Unit cell a=4.2359 b=7.9749 c=10.6024 alpha=123.76 beta=90.00 gamma=105.40
Atoms (fractional coordinates):
La 0.6963 0.3925 0.1591
La 0.3037 0.6075 0.8409
La 0.8724 0.7448 0.6015
La 0.1276 0.2552 0.3985
Bi 0.5828 0.1656 0.6746
Bi 0.0000 0.0000 0.0000
Bi 0.4172 0.8344 0.3254
N 0.6989 0.3977 0.3647
N 0.3011 0.6023 0.6353

Summary:
* calculated volume: 31.353 Å³/atom
* uncorrected formation energy: -1.049 eV/atom
* electronic total energy: -6.3824 eV per atom
* space-group type: C2/m (12)
* total magnetic moment: 0.00 μB/f.u.

[4]
A geometry-optimized Li2NdSiAu4 structure. Source: Alexandria via LeMat-Bulk, functional PBE.

Unit cell a=4.4538 b=4.4538 c=9.0896 alpha=75.82 beta=75.82 gamma=60.00
Atoms (fractional coordinates):
Li 0.7633 0.7633 0.7102
Li 0.2367 0.2367 0.2898
Nd 0.0000 0.0000 0.0000
Si 0.5000 0.5000 0.5000
Au 0.4002 0.4002 0.7993
Au 0.8688 0.8688 0.3937
Au 0.1312 0.1312 0.6063
Au 0.5998 0.5998 0.2007

Summary:
* calculated volume: 18.721 Å³/atom
* uncorrected formation energy: -0.505 eV/atom
* electronic total energy: -3.8956 eV per atom
* space-group type: R-3m (166)
* total magnetic moment: 0.00 μB/f.u.

[5]
A geometry-optimized PrNd2Dy3 structure. Source: Alexandria via LeMat-Bulk, functional PBE.

Unit cell a=9.0775 b=6.7244 c=6.7244 alpha=95.22 beta=82.18 gamma=82.18
Atoms (fractional coordinates):
Pr 0.7500 0.9145 0.0855
Pr 0.2500 0.0855 0.9145
Nd 0.6260 0.1297 0.6235
Nd 0.1260 0.6235 0.1297
Nd 0.8740 0.3765 0.8703
Nd 0.3740 0.8703 0.3765
Dy 0.2500 0.4189 0.5811
Dy 0.7500 0.5811 0.4189
Dy 0.9990 0.8348 0.6672
Dy 0.5010 0.3328 0.1652
Dy 0.4990 0.6672 0.8348
Dy 0.0010 0.1652 0.3328

Summary:
* calculated volume: 33.362 Å³/atom
* electronic total energy: -4.6221 eV per atom
* space-group type: C2/c (15)
* total magnetic moment: 0.00 μB/f.u.

[6]
A geometry-optimized RePtSe2 structure. Source: Alexandria via LeMat-Bulk, functional PBE.

Unit cell a=6.5215 b=6.5215 c=6.5215 alpha=153.33 beta=144.13 gamma=45.25
Atoms (fractional coordinates):
Pt 0.4334 0.4334 0.0000
Re 0.2247 0.7247 0.5000
Se 0.0581 0.0581 0.0000
Se 0.7837 0.2837 0.5000

Summary:
* calculated volume: 18.182 Å³/atom
* uncorrected formation energy: 0.349 eV/atom
* electronic total energy: -6.0150 eV per atom
* space-group type: Imm2 (44)
* total magnetic moment: 0.00 μB/f.u.

[7]
A geometry-optimized Na3CdSn3Se8 structure. Source: Alexandria via LeMat-Bulk, functional PBE.

Unit cell a=7.9933 b=7.9950 c=8.5292 alpha=117.98 beta=90.00 gamma=119.99
Atoms (fractional coordinates):
Na 0.0000 0.0000 0.0000
Na 0.0000 0.5000 0.0000
Na 0.5000 0.5000 0.0000
Cd 0.0000 0.0000 0.5000
Sn 0.5000 0.0000 0.5000
Sn 0.5000 0.5000 0.5000
Sn 0.0000 0.5000 0.5000
Se 0.2572 0.5145 0.2716
Se 0.7428 0.4855 0.7284
Se 0.7566 0.5132 0.2808
Se 0.2434 0.4868 0.7192
Se 0.7565 0.0240 0.2809
Se 0.2435 0.9760 0.7191
Se 0.2676 0.0240 0.2809
Se 0.7324 0.9760 0.7191

Summary:
* calculated volume: 26.453 Å³/atom
* uncorrected formation energy: -0.604 eV/atom
* electronic total energy: -3.5875 eV per atom
* space-group type: R-3m (166)
* total magnetic moment: 0.00 μB/f.u.

[8]
A geometry-optimized HoAl2In structure. Source: Alexandria via LeMat-Bulk, functional PBE.

Unit cell a=4.2969 b=4.4233 c=4.4233 alpha=90.00 beta=90.00 gamma=90.00
Atoms (fractional coordinates):
Al 0.0000 0.0000 0.5000
Al 0.0000 0.5000 0.0000
Ho 0.5000 0.5000 0.5000
In 0.5000 0.0000 0.0000

Summary:
* calculated volume: 21.017 Å³/atom
* electronic total energy: -4.0684 eV per atom
* space-group type: P4/mmm (123)
* total magnetic moment: 0.00 μB/f.u.

[9]
A geometry-optimized Li5Ac2Ag5 structure. Source: Alexandria via LeMat-Bulk, functional PBE.

Unit cell a=4.6722 b=5.5815 c=10.1505 alpha=90.00 beta=90.00 gamma=90.00
Atoms (fractional coordinates):
Li 0.5000 0.5000 0.5000
Li 0.5000 0.7527 0.2443
Li 0.5000 0.2473 0.7557
Li 0.5000 0.2473 0.2443
Li 0.5000 0.7527 0.7557
Ac 0.0000 0.5000 0.0000
Ac 0.0000 0.0000 0.5000
Ag 0.0000 0.5000 0.3279
Ag 0.0000 0.0000 0.8230
Ag 0.0000 0.0000 0.1770
Ag 0.0000 0.5000 0.6721
Ag 0.5000 0.0000 0.0000

Summary:
* calculated volume: 22.059 Å³/atom
* electronic total energy: -2.8820 eV per atom
* space-group type: Pmmm (47)
* total magnetic moment: 0.00 μB/f.u.

[10]
A geometry-optimized TbHo3Te6 structure. Source: Alexandria via LeMat-Bulk, functional PBE.

Unit cell a=4.3389 b=12.4383 c=12.7645 alpha=109.37 beta=90.00 gamma=90.00
Atoms (fractional coordinates):
Tb 0.7500 0.0447 0.6947
Tb 0.2500 0.9553 0.3053
Ho 0.7500 0.4315 0.8339
Ho 0.2500 0.5685 0.1661
Ho 0.7500 0.6836 0.5022
Ho 0.2500 0.3164 0.4978
Ho 0.7500 0.1556 0.0802
Ho 0.2500 0.8444 0.9198
Te 0.7500 0.4831 0.6178
Te 0.2500 0.5169 0.3822
Te 0.7500 0.9162 0.1005
Te 0.2500 0.0838 0.8995
Te 0.7500 0.3929 0.0618
Te 0.2500 0.6071 0.9382
Te 0.7500 0.7476 0.2800
Te 0.2500 0.2524 0.7200
Te 0.7500 0.1112 0.4674
Te 0.2500 0.8888 0.5326
Te 0.7500 0.8081 0.7496
Te 0.2500 0.1919 0.2504

Summary:
* calculated volume: 32.494 Å³/atom
* uncorrected formation energy: -1.368 eV/atom
* electronic total energy: -5.0896 eV per atom
* space-group type: P2_1/m (11)
* total magnetic moment: 0.00 μB/f.u.

[11]
A geometry-optimized ZrPb2Au structure. Source: Alexandria via LeMat-Bulk, functional PBE.

Unit cell a=5.9769 b=5.9769 c=5.9769 alpha=138.08 beta=138.08 gamma=60.78
Atoms (fractional coordinates):
Au 0.7500 0.2500 0.5000
Pb 0.0000 0.0000 0.0000
Pb 0.2500 0.7500 0.5000
Zr 0.5000 0.5000 0.0000

Summary:
* calculated volume: 23.568 Å³/atom
* electronic total energy: -4.8957 eV per atom
* space-group type: I-4m2 (119)
* total magnetic moment: 0.00 μB/f.u.

[12]
A geometry-optimized CaAc2NdTe4 structure. Source: Alexandria via LeMat-Bulk, functional PBE.

Unit cell a=4.5903 b=8.0012 c=8.0290 alpha=70.91 beta=90.00 gamma=90.00
Atoms (fractional coordinates):
Ca 0.5000 0.5000 0.0000
Ac 0.0000 0.0000 0.0000
Ac 0.5000 0.0000 0.5000
Nd 0.0000 0.5000 0.5000
Te 0.0000 0.7319 0.7588
Te 0.0000 0.2681 0.2412
Te 0.5000 0.7333 0.2521
Te 0.5000 0.2667 0.7479

Summary:
* calculated volume: 34.835 Å³/atom
* uncorrected formation energy: -1.497 eV/atom
* electronic total energy: -4.9411 eV per atom
* space-group type: P2/m (10)
* total magnetic moment: 0.00 μB/f.u.

[13]
A geometry-optimized Na3H7Pt2 structure. Source: Alexandria via LeMat-Bulk, functional PBE.

Unit cell a=3.6871 b=3.7378 c=9.4145 alpha=101.45 beta=90.00 gamma=90.00
Atoms (fractional coordinates):
Na 0.5000 0.5000 0.0000
Na 0.5000 0.6763 0.3526
Na 0.5000 0.3237 0.6474
H 0.0000 0.4056 0.8112
H 0.0000 0.8118 0.6237
H 0.0000 0.0000 0.0000
H 0.0000 0.5944 0.1888
H 0.5000 0.0942 0.1884
H 0.5000 0.9058 0.8116
H 0.0000 0.1882 0.3763
Pt 0.0000 0.9034 0.8067
Pt 0.0000 0.0966 0.1933

Summary:
* calculated volume: 10.597 Å³/atom
* electronic total energy: -3.5791 eV per atom
* space-group type: Cmmm (65)
* total magnetic moment: 0.00 μB/f.u.

[14]
A geometry-optimized LiTiPtI2 structure. Source: Alexandria via LeMat-Bulk, functional PBE.

Unit cell a=5.2868 b=5.3725 c=5.2868 alpha=90.00 beta=90.00 gamma=90.00
Site moments in Bohr magnetons follow the coordinates.
Atoms (fractional coordinates):
I 0.0000 0.0000 0.5000  -0.03
I 0.5000 0.0000 0.0000  -0.07
Li 0.0000 0.5000 0.0000  0.08
Pt 0.5000 0.5000 0.5000  0.04
Ti 0.0000 0.0000 0.0000  1.58

Summary:
* calculated volume: 30.033 Å³/atom
* uncorrected formation energy: 0.686 eV/atom
* electronic total energy: -3.1041 eV per atom
* space-group type: P4/mmm (123)
* total magnetic moment: 2.19 μB/f.u.

[15]
A geometry-optimized ZrAlHg2 structure. Source: Alexandria via LeMat-Bulk, functional PBE.

Unit cell a=4.4385 b=4.2806 c=4.2806 alpha=90.00 beta=90.00 gamma=90.00
Atoms (fractional coordinates):
Hg 0.0000 0.0000 0.0000
Hg 0.0000 0.5000 0.5000
Zr 0.5000 0.5000 0.0000
Al 0.5000 0.0000 0.5000

Summary:
* calculated volume: 20.332 Å³/atom
* electronic total energy: -3.4079 eV per atom
* space-group type: P4/mmm (123)
* total magnetic moment: 0.00 μB/f.u.

[16]
A geometry-optimized BaNi2GeP6 structure. Source: Alexandria via LeMat-Bulk, functional PBE.

Unit cell a=5.7016 b=5.7016 c=8.8049 alpha=71.11 beta=71.11 gamma=60.00
Atoms (fractional coordinates):
Ba 0.0000 0.0000 0.0000
Ni 0.6827 0.6827 0.9520
Ni 0.3173 0.3173 0.0480
Ge 0.5000 0.5000 0.5000
P 0.1346 0.5367 0.7921
P 0.5366 0.1346 0.7921
P 0.4633 0.4634 0.2079
P 0.8654 0.4633 0.2079
P 0.4634 0.8654 0.2079
P 0.5367 0.5366 0.7921

Summary:
* calculated volume: 22.991 Å³/atom
* electronic total energy: -5.1585 eV per atom
* space-group type: R-3m (166)
* total magnetic moment: 0.00 μB/f.u.

[17]
A geometry-optimized BeSbAs structure. Source: Alexandria via LeMat-Bulk, functional PBE.

Unit cell a=6.4765 b=6.2134 c=3.3332 alpha=79.19 beta=70.45 gamma=30.37
Atoms (fractional coordinates):
Sb 0.7027 0.7027 0.2973
As 0.9444 0.9444 0.0556
Be 0.3529 0.3529 0.6471

Summary:
* calculated volume: 20.814 Å³/atom
* uncorrected formation energy: 0.308 eV/atom
* electronic total energy: -3.8583 eV per atom
* space-group type: Fmm2 (42)
* total magnetic moment: 0.00 μB/f.u.

[18]
A geometry-optimized MgVGe structure. Source: Alexandria via LeMat-Bulk, functional PBE.

Unit cell a=2.9244 b=4.8109 c=7.7418 alpha=108.12 beta=79.10 gamma=90.01
Site moments in Bohr magnetons follow the coordinates.
Atoms (fractional coordinates):
Mg 0.6519 0.7621 0.1799  0.00
Mg 0.3003 0.1127 0.8804  0.00
Ge 0.8400 0.5677 0.7992  -0.01
Ge 0.1103 0.2983 0.2609  -0.01
V 0.9750 0.0769 0.5301  0.44
V 0.4751 0.6436 0.5301  0.24

Summary:
* calculated volume: 16.909 Å³/atom
* electronic total energy: -5.1482 eV per atom
* space-group type: C2 (5)
* total magnetic moment: 0.42 μB/f.u.

[19]
A geometry-optimized ScPbBr2 structure. Source: Alexandria via LeMat-Bulk, functional PBE.

Unit cell a=7.1833 b=7.1833 c=7.8284 alpha=62.69 beta=62.69 gamma=90.00
Site moments in Bohr magnetons follow the coordinates.
Atoms (fractional coordinates):
Pb 0.0000 0.0000 0.0000  0.09
Pb 0.7500 0.2500 0.5000  0.08
Sc 0.5000 0.5000 0.0000  0.50
Sc 0.2500 0.7500 0.5000  0.50
Br 0.5310 0.1250 0.2500  0.00
Br 0.2190 0.6250 0.2500  0.00
Br 0.3750 0.4690 0.7500  0.00
Br 0.8750 0.7810 0.7500  0.00

Summary:
* calculated volume: 38.421 Å³/atom
* uncorrected formation energy: -0.387 eV/atom
* electronic total energy: -3.7335 eV per atom
* space-group type: I-42d (122)
* total magnetic moment: 0.96 μB/f.u.

[20]
A geometry-optimized Ca5PuS6 structure. Source: Alexandria via LeMat-Bulk, functional PBE.

Unit cell a=6.9973 b=7.0019 c=6.9998 alpha=59.99 beta=80.40 gamma=70.52
Site moments in Bohr magnetons follow the coordinates.
Atoms (fractional coordinates):
Ca 0.5000 0.1670 0.6660  0.03
Ca 0.0000 0.3333 0.3333  0.03
Ca 0.5000 0.5000 0.0000  0.03
Ca 0.0000 0.6667 0.6667  0.03
Ca 0.5000 0.8330 0.3340  0.03
S 0.7502 0.0833 0.3324  -0.03
S 0.2498 0.5844 0.3324  -0.03
S 0.2494 0.2494 0.0000  -0.02
S 0.7506 0.7506 0.0000  -0.02
S 0.7502 0.4156 0.6676  -0.03
S 0.2498 0.9167 0.6676  -0.03
Pu 0.0000 0.0000 0.0000  5.40

Summary:
* calculated volume: 23.331 Å³/atom
* uncorrected formation energy: -2.034 eV/atom
* electronic total energy: -6.1256 eV per atom
* space-group type: C2/m (12)
* total magnetic moment: 5.91 μB/f.u.

[21]
A geometry-optimized Dy6GaAu5 structure. Source: Alexandria via LeMat-Bulk, functional PBE.

Unit cell a=5.0687 b=7.2408 c=8.0411 alpha=90.00 beta=108.44 gamma=90.00
Atoms (fractional coordinates):
Au 0.6694 0.5000 0.3391
Au 0.3434 0.0000 0.6853
Au 0.0000 0.5000 0.0000
Au 0.6566 0.0000 0.3147
Au 0.3306 0.5000 0.6609
Ga 0.0000 0.0000 0.0000
Dy 0.8332 0.7508 0.6660
Dy 0.8332 0.2492 0.6660
Dy 0.5000 0.2546 0.0000
Dy 0.5000 0.7454 0.0000
Dy 0.1668 0.7508 0.3340
Dy 0.1668 0.2492 0.3340

Summary:
* calculated volume: 23.331 Å³/atom
* electronic total energy: -4.7310 eV per atom
* space-group type: P2/m (10)
* total magnetic moment: 0.00 μB/f.u.

[22]
A geometry-optimized YSc2InP structure. Source: Alexandria via LeMat-Bulk, functional PBE.

Unit cell a=5.3325 b=5.2107 c=5.3325 alpha=90.00 beta=90.00 gamma=90.00
Site moments in Bohr magnetons follow the coordinates.
Atoms (fractional coordinates):
Y 0.5000 0.5000 0.5000  0.32
Sc 0.0000 0.0000 0.5000  0.27
Sc 0.5000 0.0000 0.0000  0.22
P 0.0000 0.5000 0.0000  -0.03
In 0.0000 0.0000 0.0000  -0.02

Summary:
* calculated volume: 29.634 Å³/atom
* electronic total energy: -4.8621 eV per atom
* space-group type: P4/mmm (123)
* total magnetic moment: 1.42 μB/f.u.

[23]
A geometry-optimized HfInAg structure. Source: Alexandria via LeMat-Bulk, functional PBE.

Unit cell a=3.1514 b=5.4435 c=7.3955 alpha=91.08 beta=90.00 gamma=90.00
Atoms (fractional coordinates):
Hf 0.1351 0.1077 0.2866
Hf 0.6351 0.9541 0.6134
Ag 0.1353 0.8013 0.9441
Ag 0.6353 0.2606 0.9559
In 0.1351 0.4520 0.6387
In 0.6350 0.6098 0.2614

Summary:
* calculated volume: 21.141 Å³/atom
* electronic total energy: -5.2239 eV per atom
* space-group type: P2_1/m (11)
* total magnetic moment: 0.00 μB/f.u.